[1]
# GGA-PBE CsNbOsRu2, optimized geometry
# DFT total energy	-5.885	eV/atom
# DOS(E_F)	8.105	states/eV per cell
# calculated formation energy	2.26	eV per atom
data_CsNbOsRu2
_space_group_name_H-M_alt 'P 4/m m m'
_space_group_IT_number 123
_space_group_name_Hall '-P 4 2'
_cell_length_a 4.7681
_cell_length_b 4.7681
_cell_length_c 5.3700
_cell_angle_alpha 90.00
_cell_angle_beta 90.00
_cell_angle_gamma 90.00
loop_
_atom_site_label
_atom_site_type_symbol
_atom_site_fract_x
_atom_site_fract_y
_atom_site_fract_z
Cs1 Cs 0.0000 0.0000 0.0000
Nb1 Nb 0.5000 0.5000 0.0000
Os1 Os 0.0000 0.0000 0.5000
Ru1 Ru 0.0000 0.5000 0.5000

=====

[2]
# GGA-PBE CsTaNbOs2, optimized geometry
# DFT total energy	-5.519	eV/atom
# DOS(E_F)	6.616	states/eV per cell
# calculated formation energy	3.53	eV per atom
data_CsTaNbOs2
_space_group_name_H-M_alt 'P 4/m m m'
_space_group_IT_number 123
_space_group_name_Hall '-P 4 2'
_cell_length_a 4.8229
_cell_length_b 4.8229
_cell_length_c 4.9309
_cell_angle_alpha 90.00
_cell_angle_beta 90.00
_cell_angle_gamma 90.00
loop_
_atom_site_label
_atom_site_type_symbol
_atom_site_fract_x
_atom_site_fract_y
_atom_site_fract_z
Cs1 Cs 0.0000 0.0000 0.0000
Ta1 Ta 0.0000 0.0000 0.5000
Nb1 Nb 0.5000 0.5000 0.5000
Os1 Os 0.0000 0.5000 0.0000

=====

[3]
# GGA-PBE Cs6NbP4, optimized geometry
# DFT total energy	-3.751	eV/atom
# DOS(E_F)	22.410	states/eV per cell
# calculated formation energy	-0.40	eV per atom
data_Cs6NbP4
_space_group_name_H-M_alt 'P 63 m c'
_space_group_IT_number 186
_space_group_name_Hall 'P 6c -2c'
_cell_length_a 10.9547
_cell_length_b 10.9547
_cell_length_c 8.8431
_cell_angle_alpha 90.00
_cell_angle_beta 90.00
_cell_angle_gamma 120.00
loop_
_atom_site_label
_atom_site_type_symbol
_atom_site_fract_x
_atom_site_fract_y
_atom_site_fract_z
Cs1 Cs 0.0711 0.5356 0.0000
Cs2 Cs 0.1452 0.2905 0.3172
Nb1 Nb 0.3333 0.6667 0.6035
P1 P 0.2117 0.4233 0.6887
P2 P 0.3333 0.6667 0.3314

=====

[4]
# GGA-PBE CsNbP3, optimized geometry
# DFT total energy	-2.916	eV/atom
# DOS(E_F)	7.695	states/eV per cell
# calculated formation energy	2.51	eV per atom
data_CsNbP3
_space_group_name_H-M_alt 'P m -3 m'
_space_group_IT_number 221
_space_group_name_Hall '-P 4 2 3'
_cell_length_a 5.1105
_cell_length_b 5.1105
_cell_length_c 5.1105
_cell_angle_alpha 90.00
_cell_angle_beta 90.00
_cell_angle_gamma 90.00
loop_
_atom_site_label
_atom_site_type_symbol
_atom_site_fract_x
_atom_site_fract_y
_atom_site_fract_z
Cs1 Cs 0.0000 0.0000 0.0000
Nb1 Nb 0.5000 0.5000 0.5000
P1 P 0.0000 0.0000 0.5000

=====

[5]
# GGA-PBE CsNbP2S, optimized geometry
# DFT total energy	-2.836	eV/atom
# DOS(E_F)	7.684	states/eV per cell
# formation energy without anion corrections	2.338	eV/atom
data_CsNbP2S
_space_group_name_H-M_alt 'P 4/m m m'
_space_group_IT_number 123
_space_group_name_Hall '-P 4 2'
_cell_length_a 5.2849
_cell_length_b 5.2849
_cell_length_c 5.0258
_cell_angle_alpha 90.00
_cell_angle_beta 90.00
_cell_angle_gamma 90.00
loop_
_atom_site_label
_atom_site_type_symbol
_atom_site_fract_x
_atom_site_fract_y
_atom_site_fract_z
Cs1 Cs 0.0000 0.0000 0.0000
Nb1 Nb 0.5000 0.5000 0.5000
P1 P 0.0000 0.5000 0.0000
S1 S 0.0000 0.0000 0.5000

=====

[6]
# GGA-PBE CsNbP2S, optimized geometry
# DFT total energy	-5.435	eV/atom
# DOS(E_F)	4.587	states/eV per cell
# formation energy without anion corrections	-0.261	eV/atom
data_CsNbP2S
_space_group_name_H-M_alt 'P 4/m m m'
_space_group_IT_number 123
_space_group_name_Hall '-P 4 2'
_cell_length_a 4.9750
_cell_length_b 4.9750
_cell_length_c 5.0128
_cell_angle_alpha 90.00
_cell_angle_beta 90.00
_cell_angle_gamma 90.00
loop_
_atom_site_label
_atom_site_type_symbol
_atom_site_fract_x
_atom_site_fract_y
_atom_site_fract_z
Cs1 Cs 0.0000 0.0000 0.0000
Nb1 Nb 0.5000 0.5000 0.5000
P1 P 0.0000 0.5000 0.5000
S1 S 0.5000 0.5000 0.0000